VASP calculation (PBE) on crystalline PuScCo at its relaxed geometry.

The value obtained for the final energy is -8.608 eV per atom. For the formation energy, the calculation gives 0.579 eV/atom. For the excess energy over the best structure of this formula in the dataset, the calculation gives 0.0 kJ/mol of formula units.

It has space group F-43m (No. 216), with a = 6.248 Å, b = 6.248 Å, c = 6.248 Å, α = 90.00°, β = 90.00° and γ = 90.00°. The asymmetric unit holds Pu at (0.000, 0.000, 0.000), Sc at (0.250, 0.250, 0.250) and Co at (0.250, 0.250, 0.750).